## HoTmV2O8 (PBE with a Hubbard U)

Data for a relaxed HoTmV2O8 crystal.

The value obtained for the total energy is -193.19 eV for the cell shown.

Structure (CIF):
```
data_HoTmV2O8
_symmetry_space_group_name_H-M 'I -4 m 2'
_symmetry_Int_Tables_number 119
_symmetry_space_group_name_Hall 'I -4 -2'
_cell_length_a 7.150
_cell_length_b 7.150
_cell_length_c 6.318
_cell_angle_alpha 90.00
_cell_angle_beta 90.00
_cell_angle_gamma 90.00
loop_
_atom_site_label
_atom_site_type_symbol
_atom_site_fract_x
_atom_site_fract_y
_atom_site_fract_z
Ho1 Ho 0.000 0.000 0.000
Tm1 Tm 0.000 0.500 0.250
V1 V 0.000 0.000 0.500
V2 V 0.000 0.500 0.750
O1 O 0.000 0.187 0.324
O2 O 0.000 0.315 0.928
```